Below is a relaxed TbScGeO5 crystal, with properties calculated at the PBE-GGA level.

- DOS(E_F) (states/eV/atom) = 0.0000
- VASP energy (eV/cell) = -252.4
- crystal system = monoclinic
- formation energy from raw total energies (eV/f.u.) = -22.74

Structure (CIF):
```
data_TbScGeO5
_space_group_name_H-M_alt 'C 1 2/c 1'
_space_group_IT_number 15
_space_group_name_Hall '-C 2yc'
_cell_length_a 6.820
_cell_length_b 9.163
_cell_length_c 7.246
_cell_angle_alpha 90.00
_cell_angle_beta 112.71
_cell_angle_gamma 90.00
loop_
_atom_site_label
_atom_site_fract_x
_atom_site_fract_y
_atom_site_fract_z
Tb1 0.000 0.174 0.250
Sc1 0.000 0.500 0.000
Ge1 0.000 0.172 0.750
O1 0.000 0.407 0.250
O2 0.119 0.283 0.620
O3 0.172 0.050 0.928
```



Below is a relaxed Th2Sc4Ge3O2 crystal, with properties calculated at the PBE-GGA level.

- DOS(E_F) (states/eV/atom) = 0.6584
- VASP energy (eV/cell) = -163.5
- crystal system = tetragonal
- formation energy from raw total energies (eV/f.u.) = -17.80

Structure (CIF):
```
data_Th2Sc4Ge3O2
_space_group_name_H-M_alt 'I 4/m m m'
_space_group_IT_number 139
_space_group_name_Hall '-I 4 2'
_cell_length_a 4.302
_cell_length_b 4.302
_cell_length_c 23.502
_cell_angle_alpha 90.00
_cell_angle_beta 90.00
_cell_angle_gamma 90.00
loop_
_atom_site_label
_atom_site_fract_x
_atom_site_fract_y
_atom_site_fract_z
Th1 0.000 0.000 0.197
Sc1 0.000 0.500 0.077
Ge1 0.000 0.000 0.333
Ge2 0.000 0.000 0.500
O1 0.000 0.000 0.088
```



Below is a relaxed ThScGe2O8 crystal, with properties calculated at the PBE-GGA level.

- DOS(E_F) (states/eV/atom) = 0.7076
- VASP energy (eV/cell) = -183.0
- crystal system = tetragonal
- formation energy from raw total energies (eV/f.u.) = -28.83

Structure (CIF):
```
data_ThScGe2O8
_space_group_name_H-M_alt 'I -4 m 2'
_space_group_IT_number 119
_space_group_name_Hall 'I -4 -2'
_cell_length_a 7.013
_cell_length_b 7.013
_cell_length_c 6.537
_cell_angle_alpha 90.00
_cell_angle_beta 90.00
_cell_angle_gamma 90.00
loop_
_atom_site_label
_atom_site_fract_x
_atom_site_fract_y
_atom_site_fract_z
Th1 0.000 0.000 0.000
Sc1 0.000 0.500 0.250
Ge1 0.000 0.000 0.500
Ge2 0.000 0.500 0.750
O1 0.000 0.192 0.321
O2 0.000 0.322 0.940
```